Entry 1:
VASP calculation (PBE) on an optimized crystal structure of BaHRu2W.

Calculated values
* electronic total energy: -30.3 eV per cell
* crystal system: tetragonal
* M_tot: 0.000 Bohr magnetons per cell

Lattice parameters (Å, degrees): 4.1518 4.1518 4.5943 90.00 90.00 90.00
Closest atoms and distances in Å follow each position.
Space group P4/mmm (No. 123)
Inequivalent atoms, fractional coordinates:
Ba (0.0000, 0.0000, 0.0000)  2 H 2.30
H (0.0000, 0.0000, 0.5000)  4 Ru 2.08, 2 Ba 2.30
Ru (0.0000, 0.5000, 0.5000)  2 H 2.08
W (0.5000, 0.5000, 0.0000)  4 Ba 2.94, 8 Ru 3.10


Entry 2:
VASP calculation (PBE) on an optimized crystal structure of BaYH2Ru.

Calculated values
* electronic total energy: -20.8 eV per cell
* crystal system: tetragonal
* M_tot: 0.000 Bohr magnetons per cell

Lattice parameters (Å, degrees): 4.0638 4.0638 7.2887 90.00 90.00 90.00
Closest atoms and distances in Å follow each position.
Space group P4/mmm (No. 123)
Inequivalent atoms, fractional coordinates:
Ba (0.0000, 0.0000, 0.0000)  4 Ru 2.87
Y (0.0000, 0.0000, 0.5000)  4 H 2.03
H (0.0000, 0.5000, 0.5000)  2 Y 2.03
Ru (0.5000, 0.5000, 0.0000)  4 Ba 2.87


Entry 3:
VASP calculation (PBE) on an optimized crystal structure of Ba2ZnHRu.

Calculated values
* electronic total energy: -14.8 eV per cell
* crystal system: tetragonal
* M_tot: 0.715 Bohr magnetons per cell

Lattice parameters (Å, degrees): 6.1983 6.1983 4.6293 90.00 90.00 90.00
Closest atoms and distances in Å follow each position.
Space group P4/mmm (No. 123)
Inequivalent atoms, fractional coordinates:
Ba (0.0000, 0.5000, 0.0000)  2 Zn 3.10
Zn (0.0000, 0.0000, 0.0000)  2 Ru 2.31
H (0.5000, 0.5000, 0.5000)  8 Ba 3.87
Ru (0.0000, 0.0000, 0.5000)  2 Zn 2.31


Entry 4:
VASP calculation (PBE) on an optimized crystal structure of BaZnH6Ru.

Calculated values
* electronic total energy: -34.9 eV per cell
* crystal system: trigonal
* M_tot: 0.000 Bohr magnetons per cell

Lattice parameters (Å, degrees): 4.7814 4.7814 5.3295 90.00 90.00 120.00
Closest atoms and distances in Å follow each position.
Space group P312 (No. 149)
Inequivalent atoms, fractional coordinates:
Ba (0.0000, 0.0000, 0.0000)  6 H 2.50
Zn (0.6667, 0.3333, 0.5000)  6 H 1.90
H (0.0304, 0.4148, 0.3019)  1 Ru 1.71, 1 Zn 1.90
Ru (0.3333, 0.6667, 0.5000)  6 H 1.71


Entry 5:
VASP calculation (PBE) on an optimized crystal structure of BaHS2.

Calculated values
* electronic total energy: -62.8 eV per cell
* crystal system: tetragonal
* M_tot: 0.000 Bohr magnetons per cell

Lattice parameters (Å, degrees): 5.1628 5.1628 12.7823 90.00 90.00 90.00
Closest atoms and distances in Å follow each position.
Space group I4_1/amd (No. 141, origin choice 2)
Inequivalent atoms, fractional coordinates:
Ba (0.0000, 0.2500, 0.3750)  8 S 3.30, 4 H 3.65
H (0.0000, 0.2500, 0.8750)  4 S 2.05
S (0.0000, 0.0000, 0.0000)  2 H 2.05


Entry 6:
VASP calculation (PBE) on an optimized crystal structure of Ba6H8S.

Calculated values
* electronic total energy: -156.8 eV per cell
* crystal system: trigonal
* M_tot: 5.723 Bohr magnetons per cell

Lattice parameters (Å, degrees): 7.6615 7.6615 21.3275 90.00 90.00 120.00
Closest atoms and distances in Å follow each position.
Space group R-3 (No. 148, hexagonal axes)
Inequivalent atoms, fractional coordinates:
Ba (0.0014, 0.3371, 0.2461)  4 H 2.64-2.67
H (0.0000, 0.0000, 0.3340)  6 Ba 3.14-3.19
H (0.0014, 0.3380, 0.4543)  4 Ba 2.64-2.67
S (0.0000, 0.0000, 0.0000)  6 Ba 3.16


Entry 7:
VASP calculation (PBE) on an optimized crystal structure of BaHS2.

Calculated values
* electronic total energy: -69.0 eV per cell
* crystal system: monoclinic
* M_tot: 0.000 Bohr magnetons per cell

Lattice parameters (Å, degrees): 7.6521 5.6995 11.9734 90.00 126.96 90.00
Closest atoms and distances in Å follow each position.
Space group P2_1/c (No. 14)
Inequivalent atoms, fractional coordinates:
Ba (0.2128, 0.2495, 0.1844)  7 S 3.14-3.32
H (0.4540, 0.7438, 0.4422)  1 S 1.35
S (0.2388, 0.7494, 0.3361)  1 H 1.35
S (0.2644, 0.7497, 0.0963)  1 H 2.95, 2 S 2.99-3.00, 4 Ba 3.14-3.20


Entry 8:
VASP calculation (PBE) on an optimized crystal structure of BaHS2.

Calculated values
* electronic total energy: -41.6 eV per cell
* crystal system: trigonal
* M_tot: 3.150 Bohr magnetons per cell

Lattice parameters (Å, degrees): 4.5656 4.5656 14.9196 90.00 90.00 120.00
Closest atoms and distances in Å follow each position.
Space group R-3m (No. 166, hexagonal axes)
Inequivalent atoms, fractional coordinates:
Ba (0.0000, 0.0000, 0.0000)  8 S 3.09-3.24
H (0.0000, 0.0000, 0.5000)  6 S 2.70
S (0.0000, 0.0000, 0.2073)  3 H 2.70, 3 S 2.90


The lowest electronic total energy belongs to which entry? Ba6H8S


The highest M_tot belongs to which entry? Ba6H8S